Computed, not measured: Li3RhF after structural relaxation at the GGA-PBE level of DFT.

Unit cell a=4.8240 b=4.8240 c=4.8240 alpha=90.00 beta=90.00 gamma=90.00
Closest atoms and distances in Å follow each position.
Positions (direct):
Li: 0.0000 0.0000 0.5000  2 Rh 2.41
Li: 0.0000 0.5000 0.0000  2 Rh 2.41
Li: 0.5000 0.0000 0.0000  2 Rh 2.41
Rh: 0.0000 0.0000 0.0000  6 Li 2.41
F: 0.5000 0.5000 0.5000  12 Li 3.41

Output
The total energy comes out at -3.071 eV per atom. Its space-group type is Pm-3m, No. 221.

---

Computed, not measured: BeAl2Sb after structural relaxation at the GGA-PBE level of DFT.

Unit cell a=4.7021 b=4.7021 c=4.7021 alpha=60.00 beta=60.00 gamma=60.00
Closest atoms and distances in Å follow each position.
Positions (direct):
Be: 0.0000 0.0000 0.0000  8 Al 2.88
Al: 0.2500 0.2500 0.2500  4 Sb 2.88, 4 Be 2.88
Al: 0.7500 0.7500 0.7500  4 Sb 2.88, 4 Be 2.88
Sb: 0.5000 0.5000 0.5000  8 Al 2.88

Output
The total energy comes out at -3.301 eV per atom. Its space-group type is Fm-3m, No. 225.

---

Computed, not measured: V4OsW3 after structural relaxation at the GGA-PBE level of DFT.

Unit cell a=4.3391 b=4.3391 c=6.1273 alpha=90.00 beta=90.00 gamma=90.00
Closest atoms and distances in Å follow each position.
Positions (direct):
V: 0.0000 0.5000 0.2485  6 W 2.65-2.66, 2 Os 2.65
V: 0.0000 0.5000 0.7515  6 W 2.65-2.66, 2 Os 2.65
V: 0.5000 0.0000 0.2485  6 W 2.65-2.66, 2 Os 2.65
V: 0.5000 0.0000 0.7515  6 W 2.65-2.66, 2 Os 2.65
Os: 0.0000 0.0000 0.0000  8 V 2.65
W: 0.0000 0.0000 0.5000  8 V 2.66
W: 0.5000 0.5000 0.0000  8 V 2.65
W: 0.5000 0.5000 0.5000  8 V 2.66

Output
Its space-group type is P4/mmm, No. 123. As for the calculated formation energy: -0.200 eV per atom.

---

Computed, not measured: Li2HfPb after structural relaxation at the GGA-PBE level of DFT.

Unit cell a=11.0895 b=11.0895 c=11.0895 alpha=16.16 beta=16.16 gamma=16.16
Closest atoms and distances in Å follow each position.
Positions (direct):
Li: 0.0888 0.0888 0.0888  1 Hf 2.92, 6 Li 3.12, 3 Pb 3.13
Li: 0.9112 0.9112 0.9112  1 Hf 2.92, 6 Li 3.12, 3 Pb 3.13
Hf: 0.0000 0.0000 0.0000  2 Li 2.92, 6 Hf 3.12
Pb: 0.5000 0.5000 0.5000  6 Pb 3.12, 6 Li 3.13

Output
Its space-group type is R-3m, No. 166. As for the calculated formation energy: 0.248 eV per atom.

---

Computed, not measured: La3PrSm2 after structural relaxation at the GGA-PBE level of DFT.

Unit cell a=7.3909 b=7.3909 c=9.0722 alpha=90.00 beta=90.00 gamma=120.00
Closest atoms and distances in Å follow each position.
Positions (direct):
La: 0.1661 0.3322 0.3298  3 Sm 3.67-3.68, 6 La 3.68-3.75, 3 Pr 3.70-3.76
La: 0.1661 0.8339 0.3298  3 Sm 3.67-3.68, 6 La 3.68-3.75, 3 Pr 3.70-3.76
La: 0.3322 0.1661 0.6702  3 Sm 3.67-3.68, 6 La 3.68-3.75, 3 Pr 3.70-3.76
La: 0.6678 0.8339 0.3298  3 Sm 3.67-3.68, 6 La 3.68-3.75, 3 Pr 3.70-3.76
La: 0.8339 0.1661 0.6702  3 Sm 3.67-3.68, 6 La 3.68-3.75, 3 Pr 3.70-3.76
La: 0.8339 0.6678 0.6702  3 Sm 3.67-3.68, 6 La 3.68-3.75, 3 Pr 3.70-3.76
Pr: 0.3333 0.6667 0.6702  3 Sm 3.67, 9 La 3.70-3.76
Pr: 0.6667 0.3333 0.3298  3 Sm 3.67, 9 La 3.70-3.76
Sm: 0.0000 0.0000 0.0000  6 La 3.67, 6 Sm 3.70
Sm: 0.0000 0.5000 0.0000  2 Pr 3.67, 4 La 3.68, 6 Sm 3.70
Sm: 0.5000 0.0000 0.0000  2 Pr 3.67, 4 La 3.68, 6 Sm 3.70
Sm: 0.5000 0.5000 0.0000  2 Pr 3.67, 4 La 3.68, 6 Sm 3.70

Output
Its space-group type is P-3m1, No. 164. As for the calculated formation energy: 0.014 eV per atom.

---

Computed, not measured: ZnHg2AsN after structural relaxation at the GGA-PBE level of DFT.

Unit cell a=5.4457 b=5.4457 c=4.7208 alpha=90.00 beta=90.00 gamma=90.00
Closest atoms and distances in Å follow each position.
Positions (direct):
Zn: 0.0000 0.0000 0.0000  2 As 2.36
Hg: 0.0000 0.5000 0.0000  2 Zn 2.72
Hg: 0.5000 0.0000 0.0000  2 Zn 2.72
As: 0.0000 0.0000 0.5000  2 Zn 2.36
N: 0.5000 0.5000 0.5000  8 Hg 3.60, 4 As 3.85

Output
The total energy comes out at -1.699 eV per atom. Its space-group type is P4/mmm, No. 123.

---

Computed, not measured: Nd4Y7Mg after structural relaxation at the GGA-PBE level of DFT.

Unit cell a=6.6634 b=6.6663 c=10.4199 alpha=99.67 beta=100.84 gamma=115.72
Closest atoms and distances in Å follow each position.
Positions (direct):
Nd: 0.0000 0.0000 0.0000  7 Y 3.42-3.76, 2 Nd 3.56-3.66
Nd: 0.0849 0.1020 0.6570  6 Y 3.42-3.67, 3 Nd 3.44-3.59, 1 Mg 3.55
Nd: 0.4234 0.9378 0.8583  7 Y 3.42-3.67, 4 Nd 3.44-3.66
Nd: 0.5218 0.0204 0.5364  1 Mg 3.35, 8 Y 3.43-3.70, 3 Nd 3.49-3.62
Y: 0.0073 0.5365 0.5364  1 Mg 3.28, 5 Y 3.47-3.67, 5 Nd 3.54-3.63
Y: 0.0977 0.6252 0.2097  7 Y 3.44-3.79, 2 Mg 3.50-3.68, 2 Nd 3.66-3.76
Y: 0.1866 0.2009 0.3474  3 Nd 3.42-3.53, 6 Y 3.47-3.63, 2 Mg 3.49-3.60
Y: 0.5040 0.5156 0.0126  1 Mg 3.28, 3 Nd 3.52-3.65, 1 Y 3.63
Y: 0.5736 0.5862 0.6661  5 Y 3.42-3.81, 6 Nd 3.42-3.75, 1 Mg 3.65
Y: 0.6106 0.1119 0.2069  2 Nd 3.42-3.70, 2 Mg 3.53-3.68, 5 Y 3.54-3.69
Y: 0.9265 0.4319 0.8597  5 Y 3.42-3.68, 6 Nd 3.42-3.63
Mg: 0.6807 0.6911 0.3463  7 Y 3.28-3.65, 2 Nd 3.35-3.55

Output
Its space-group type is P1, No. 1. As for the calculated formation energy: 0.027 eV per atom.

---

Computed, not measured: YHg2Pb2 after structural relaxation at the GGA-PBE level of DFT.

Unit cell a=12.4600 b=12.4600 c=4.6442 alpha=90.00 beta=90.00 gamma=158.08
Closest atoms and distances in Å follow each position.
Positions (direct):
Y: 0.1383 0.8617 0.7500  4 Hg 3.26-3.28, 8 Pb 3.32-3.64
Y: 0.8617 0.1383 0.2500  4 Hg 3.26-3.28, 8 Pb 3.32-3.64
Hg: 0.0437 0.9563 0.2500  8 Hg 3.16-3.32, 2 Y 3.28, 2 Pb 3.39
Hg: 0.4535 0.5465 0.2500  8 Hg 3.24-3.32, 2 Y 3.26, 2 Pb 3.31
Hg: 0.5465 0.4535 0.7500  8 Hg 3.24-3.32, 2 Y 3.26, 2 Pb 3.31
Hg: 0.9563 0.0437 0.7500  8 Hg 3.16-3.32, 2 Y 3.28, 2 Pb 3.39
Pb: 0.2490 0.7510 0.2500  8 Pb 3.32-3.52, 4 Y 3.57-3.64
Pb: 0.3570 0.6430 0.7500  4 Hg 3.31-3.39, 4 Y 3.32, 4 Pb 3.51-3.52
Pb: 0.6430 0.3570 0.2500  4 Hg 3.31-3.39, 4 Y 3.32, 4 Pb 3.51-3.52
Pb: 0.7510 0.2490 0.7500  8 Pb 3.32-3.52, 4 Y 3.57-3.64

Output
Its space-group type is Cmcm, No. 63. As for the calculated formation energy: -0.227 eV per atom.

---

What did the seventh record say?
Computed, not measured: Nd4Y7Mg after structural relaxation at the GGA-PBE level of DFT.

Unit cell a=6.6634 b=6.6663 c=10.4199 alpha=99.67 beta=100.84 gamma=115.72
Closest atoms and distances in Å follow each position.
Positions (direct):
Nd: 0.0000 0.0000 0.0000  7 Y 3.42-3.76, 2 Nd 3.56-3.66
Nd: 0.0849 0.1020 0.6570  6 Y 3.42-3.67, 3 Nd 3.44-3.59, 1 Mg 3.55
Nd: 0.4234 0.9378 0.8583  7 Y 3.42-3.67, 4 Nd 3.44-3.66
Nd: 0.5218 0.0204 0.5364  1 Mg 3.35, 8 Y 3.43-3.70, 3 Nd 3.49-3.62
Y: 0.0073 0.5365 0.5364  1 Mg 3.28, 5 Y 3.47-3.67, 5 Nd 3.54-3.63
Y: 0.0977 0.6252 0.2097  7 Y 3.44-3.79, 2 Mg 3.50-3.68, 2 Nd 3.66-3.76
Y: 0.1866 0.2009 0.3474  3 Nd 3.42-3.53, 6 Y 3.47-3.63, 2 Mg 3.49-3.60
Y: 0.5040 0.5156 0.0126  1 Mg 3.28, 3 Nd 3.52-3.65, 1 Y 3.63
Y: 0.5736 0.5862 0.6661  5 Y 3.42-3.81, 6 Nd 3.42-3.75, 1 Mg 3.65
Y: 0.6106 0.1119 0.2069  2 Nd 3.42-3.70, 2 Mg 3.53-3.68, 5 Y 3.54-3.69
Y: 0.9265 0.4319 0.8597  5 Y 3.42-3.68, 6 Nd 3.42-3.63
Mg: 0.6807 0.6911 0.3463  7 Y 3.28-3.65, 2 Nd 3.35-3.55

Output
Its space-group type is P1, No. 1. As for the calculated formation energy: 0.027 eV per atom.

---

Please write out number 6 again, unchanged.
Computed, not measured: ZnHg2AsN after structural relaxation at the GGA-PBE level of DFT.

Unit cell a=5.4457 b=5.4457 c=4.7208 alpha=90.00 beta=90.00 gamma=90.00
Closest atoms and distances in Å follow each position.
Positions (direct):
Zn: 0.0000 0.0000 0.0000  2 As 2.36
Hg: 0.0000 0.5000 0.0000  2 Zn 2.72
Hg: 0.5000 0.0000 0.0000  2 Zn 2.72
As: 0.0000 0.0000 0.5000  2 Zn 2.36
N: 0.5000 0.5000 0.5000  8 Hg 3.60, 4 As 3.85

Output
The total energy comes out at -1.699 eV per atom. Its space-group type is P4/mmm, No. 123.